The following is a DFT calculation (PBE with a Hubbard U) of an optimized crystal structure of SrGaWO6.

Computed properties:
VASP energy ... -6.55 eV per atom
Calculated volume ... 13.3 A^3/atom

Structure (POSCAR):
```
SrGaWO6
1.0
4.963 0.000 0.000
0.000 4.963 0.000
0.000 0.000 9.745
O Sr W Ga
12 2 2 2
Cartesian
4.152 0.811 4.909
1.118 3.845 1.937
3.599 3.599 6.809
1.074 3.889 7.725
1.670 1.670 0.037
3.889 1.074 7.725
0.811 4.152 4.909
3.292 3.292 0.037
3.555 3.555 2.853
1.408 1.408 2.853
3.845 1.118 1.937
1.364 1.364 6.809
0.000 0.000 0.056
2.481 2.481 4.928
0.000 0.000 6.528
2.481 2.481 1.655
2.481 2.481 8.125
0.000 0.000 3.253
```